# 1
Density functional theory data (meta-GGA SCAN) for a crystal of CaScZn3 relaxed with PBEsol.

ΔH_f (0 K) (eV per atom): 0.8400
Density of states at the Fermi level (states/eV/f.u.): 4.81

Geometry as extended XYZ:
```
5
Lattice="5.005 0.000 0.000 0.000 5.005 0.000 0.000 0.000 5.005" Properties=species:S:1:pos:R:3 pbc="T T T"
Zn 2.503 0.000 0.000
Zn 0.000 2.503 0.000
Zn 0.000 0.000 2.503
Sc 2.503 2.503 2.503
Ca 0.000 0.000 0.000
```


# 2
Density functional theory data (meta-GGA SCAN) for a crystal of Cs2UBr4O2 relaxed with PBEsol.

Final energy (eV per atom): -32.1781
Density of states at the Fermi level (states/eV/f.u.): 0.00

Geometry as extended XYZ:
```
18
Lattice="-5.931 -1.324 2.099 3.399 -0.676 9.178 0.798 9.782 0.426" Properties=species:S:1:pos:R:3 pbc="T T T"
Br 1.471 4.317 7.509
Br -1.169 5.213 10.757
Br -2.912 0.590 6.912
Br -0.566 2.568 0.946
Br -2.890 8.372 4.180
Br 1.178 7.192 4.790
Br 1.156 -0.591 7.523
Br -3.205 3.465 4.193
Cs -0.498 0.957 4.178
Cs -0.792 1.765 9.590
Cs -0.942 6.016 2.112
Cs -1.237 6.824 7.524
U 2.098 4.553 4.802
U 0.000 0.000 0.000
O -1.557 -1.299 9.928
O 0.449 3.986 4.332
O -2.184 3.796 7.371
O -0.178 9.081 1.774
```


# 3
Density functional theory data (meta-GGA SCAN) for a crystal of Sb2OsPbI relaxed with PBEsol.

Final energy (eV per atom): -49.7650
Density of states at the Fermi level (states/eV/f.u.): 3.88

Geometry as extended XYZ:
```
5
Lattice="-4.395 2.599 -2.426 0.601 -3.259 -4.579 -3.545 -3.863 2.284" Properties=species:S:1:pos:R:3 pbc="T T T"
Os -3.670 -2.262 -2.361
Sb 0.300 -1.630 -2.290
Sb -2.197 1.299 -1.213
I -1.773 -1.932 1.142
Pb 0.000 0.000 0.000
```


# 4
Density functional theory data (meta-GGA SCAN) for a crystal of Li3ZnO relaxed with PBEsol.

Final energy (eV per atom): -6.3593
Density of states at the Fermi level (states/eV/f.u.): 1.94

Geometry as extended XYZ:
```
5
Lattice="3.920 0.000 0.000 0.000 3.920 0.000 0.000 0.000 3.920" Properties=species:S:1:pos:R:3 pbc="T T T"
Li 0.000 0.000 1.960
Li 0.000 1.960 0.000
Li 1.960 0.000 0.000
O 0.000 0.000 0.000
Zn 1.960 1.960 1.960
```


# 5
Density functional theory data (meta-GGA SCAN) for a crystal of Ag2W3 relaxed with PBEsol.

ΔH_f (0 K) (eV per atom): 0.6272
Density of states at the Fermi level (states/eV/f.u.): 3.09

Geometry as extended XYZ:
```
5
Lattice="-1.055 -2.535 0.158 0.352 -1.496 2.281 -10.548 3.231 5.405" Properties=species:S:1:pos:R:3 pbc="T T T"
W -4.363 0.487 2.651
W -6.888 -1.288 5.192
W 0.000 0.000 0.000
Ag -2.525 -1.776 2.541
Ag -8.726 0.975 5.302
```


# 6
Density functional theory data (meta-GGA SCAN) for a crystal of LiAlNi2 relaxed with PBEsol.

ΔH_f (0 K) (eV per atom): -0.1637
Density of states at the Fermi level (states/eV/f.u.): 3.30

Geometry as extended XYZ:
```
4
Lattice="2.630 0.000 0.000 1.315 2.278 0.000 1.315 0.759 7.970" Properties=species:S:1:pos:R:3 pbc="T T T"
Ni 1.315 0.759 2.087
Ni 3.945 2.278 5.883
Li 0.000 0.000 0.000
Al 2.630 1.518 3.985
```


# 7
Density functional theory data (meta-GGA SCAN) for a crystal of Y2AgCl relaxed with PBEsol.

Excess energy over the best structure of this formula in the dataset (eV/f.u.): 0.00
Density of states at the Fermi level (states/eV/f.u.): 1.70

Geometry as extended XYZ:
```
4
Lattice="-3.278 -0.182 -1.030 -0.487 -4.670 2.376 -1.524 2.410 4.423" Properties=species:S:1:pos:R:3 pbc="T T T"
Y -4.040 1.023 1.182
Y -0.244 -2.335 1.188
Cl 0.000 0.000 0.000
Ag -2.645 -1.221 2.885
```


# 8
Density functional theory data (meta-GGA SCAN) for a crystal of Al8Si relaxed with PBEsol.

Final energy (eV per atom): -7.9353
Density of states at the Fermi level (states/eV/f.u.): 3.96

Geometry as extended XYZ:
```
9
Lattice="4.025 0.000 0.000 2.012 5.962 0.000 2.012 0.000 5.962" Properties=species:S:1:pos:R:3 pbc="T T T"
Al 2.012 3.985 1.977
Al 4.025 3.985 3.985
Al 4.025 0.000 3.992
Al 2.012 1.970 0.000
Al 4.025 3.992 0.000
Al 2.012 1.977 3.985
Al 4.025 1.977 1.977
Al 2.012 0.000 1.970
Si 0.000 0.000 0.000
```


# 9
Density functional theory data (meta-GGA SCAN) for a crystal of TiZnH2Pb relaxed with PBEsol.

Final energy (eV per atom): -21.7302
Density of states at the Fermi level (states/eV/f.u.): 3.06

Geometry as extended XYZ:
```
5
Lattice="-0.525 1.286 3.614 -3.570 -1.500 0.016 2.114 -5.010 2.090" Properties=species:S:1:pos:R:3 pbc="T T T"
H -1.785 -0.750 0.008
H -0.262 0.643 1.807
Ti 1.057 -2.505 1.045
Pb 0.000 0.000 0.000
Zn -0.990 -2.611 2.860
```


# 10
Density functional theory data (meta-GGA SCAN) for a crystal of Cr3W relaxed with PBEsol.

ΔH_f (0 K) (eV per atom): 0.0850
Density of states at the Fermi level (states/eV/f.u.): 2.49

Geometry as extended XYZ:
```
4
Lattice="-2.527 0.417 -0.111 -0.491 -3.512 -2.024 0.281 -2.435 4.156" Properties=species:S:1:pos:R:3 pbc="T T T"
Cr -1.689 -1.541 3.084
Cr -0.557 -0.476 0.962
Cr -1.509 -1.547 -1.067
W -0.105 -2.973 1.066
```


# 11
Density functional theory data (meta-GGA SCAN) for a crystal of BeHSeBr2 relaxed with PBEsol.

Excess energy over the best structure of this formula in the dataset (eV/f.u.): 1.90
Density of states at the Fermi level (states/eV/f.u.): 3.40

Geometry as extended XYZ:
```
5
Lattice="3.478 0.000 0.000 0.000 5.061 0.000 0.000 0.000 5.061" Properties=species:S:1:pos:R:3 pbc="T T T"
Br 0.000 0.000 2.530
Br 0.000 2.530 0.000
Se 1.739 0.000 0.000
H 0.000 0.000 0.000
Be 1.739 2.530 2.530
```


# 12
Density functional theory data (meta-GGA SCAN) for a crystal of HfCr3Rh relaxed with PBEsol.

ΔH_f (0 K) (eV per atom): 1.0636
Density of states at the Fermi level (states/eV/f.u.): 5.88

Geometry as extended XYZ:
```
5
Lattice="4.436 0.000 0.000 0.000 4.436 0.000 0.000 0.000 4.436" Properties=species:S:1:pos:R:3 pbc="T T T"
Cr 2.218 0.000 0.000
Cr 0.000 0.000 2.218
Cr 0.000 2.218 0.000
Rh 0.000 0.000 0.000
Hf 2.218 2.218 2.218
```


Respective calculated density values: 3.72; 4.76; 6.98; 2.82; 15.96; 5.26; 5.60; 2.83; 6.13; 11.35; 4.64; 8.32 Mg/m³.